Entry 1:
Density functional theory data (PBE) for a relaxed Th2SnAu crystal.

abc: 3.5225 3.5225 33.6464
angles: 90.00 90.00 120.00
With the nearest neighbours (Å) after each atom.
Space group R-3m (No. 166, hexagonal axes)
One atom of each set of equivalent atoms:
Th 0.0000 0.0000 0.0957 (multiplicity 6)  3 Au 3.14, 1 Sn 3.22
Sn 0.0000 0.0000 0.0000 (multiplicity 3)  2 Th 3.22, 6 Sn 3.52
Au 0.0000 0.0000 0.5000 (multiplicity 3)  6 Th 3.14

Results
E_form = -64 meV per atom



Entry 2:
Density functional theory data (PBE) for a relaxed Th6Sn2Au crystal.

abc: 8.7261 8.7261 4.1092
angles: 90.00 90.00 120.00
With the nearest neighbours (Å) after each atom.
Space group P-62m (No. 189)
One atom of each set of equivalent atoms:
Th 0.0000 0.4150 0.0000 (multiplicity 3)  4 Sn 3.33, 2 Th 3.52, 1 Au 3.62
Th 0.0000 0.7430 0.5000 (multiplicity 3)  2 Au 3.04, 2 Sn 3.29
Sn 0.3333 0.6667 0.5000 (multiplicity 2)  9 Th 3.29-3.33
Au 0.0000 0.0000 0.0000 (multiplicity 1)  6 Th 3.04

Results
E_form = -414 meV per atom